VASP calculation (PBE) on a relaxed LiCu3Ge2 crystal.

For the final energy, the calculation gives -3.987 eV/atom. The value obtained for the offset from the most stable computed form is 0.0000 eV per atom.

a b c (Å): 4.145 6.365 8.435
angles (deg): 119.09 90.00 109.00
Fractional positions:
Ge1 0.433 0.866 0.827
Ge2 0.816 0.633 0.303
Ge3 0.567 0.134 0.173
Ge4 0.184 0.367 0.697
Cu1 0.305 0.611 0.473
Cu2 0.430 0.859 0.312
Cu3 0.695 0.389 0.527
Cu4 0.941 0.881 0.669
Cu5 0.059 0.119 0.331
Cu6 0.570 0.141 0.688
Li1 0.148 0.296 0.028
Li2 0.852 0.704 0.972